Entry 1:
Crystalline InAuSe2 at its relaxed geometry. Source: Alexandria, functional GGA-PBE.

abc: 5.781 8.002 4.055
angles: 90.00 90.00 90.00
Fractional coordinates of all 8 atoms:
In1 0.000 0.000 0.000
In2 0.500 0.500 0.000
Au1 0.000 0.500 0.000
Au2 0.500 0.000 0.000
Se1 0.000 0.270 0.500
Se2 0.000 0.730 0.500
Se3 0.500 0.230 0.500
Se4 0.500 0.770 0.500

Energy in eV per cell: -26.6
ρ in g/cm³: 8.32
Spin magnetization in μB/cell: 0.00
Fermi-level density of states in states/eV per atom: 0.610
Uncorrected formation energy in eV per formula unit: -0.3

***

Entry 2:
Crystalline InAuSe2 at its relaxed geometry. Source: Alexandria, functional GGA-PBE.

abc: 7.141 9.354 7.038
angles: 90.00 90.00 90.00
Fractional coordinates of all 16 atoms:
In1 0.064 0.115 0.000
In2 0.436 0.615 0.500
In3 0.564 0.385 0.000
In4 0.936 0.885 0.500
Au1 0.140 0.506 0.118
Au2 0.360 0.006 0.618
Au3 0.640 0.994 0.118
Au4 0.860 0.494 0.618
Se1 0.061 0.138 0.624
Se2 0.111 0.667 0.673
Se3 0.389 0.167 0.173
Se4 0.439 0.638 0.124
Se5 0.561 0.362 0.624
Se6 0.611 0.833 0.673
Se7 0.889 0.333 0.173
Se8 0.939 0.862 0.124

Energy in eV per cell: -57.4
ρ in g/cm³: 6.64
Spin magnetization in μB/cell: 0.00
Fermi-level density of states in states/eV per atom: 0.000
Uncorrected formation energy in eV per formula unit: -1.4

***

Entry 3:
Crystalline InAuSe2 at its relaxed geometry. Source: Alexandria, functional GGA-PBE.

abc: 4.269 4.272 6.251
angles: 90.36 90.23 96.51
Fractional coordinates of all 4 atoms:
In1 0.000 0.000 0.000
Au1 0.718 0.282 0.500
Se1 0.118 0.505 0.244
Se2 0.496 0.882 0.755

Energy in eV per cell: -14.3
ρ in g/cm³: 6.89
Spin magnetization in μB/cell: 0.00
Fermi-level density of states in states/eV per atom: 0.000
Uncorrected formation energy in eV per formula unit: -1.3

***

Entry 4:
Crystalline InAuSe2 at its relaxed geometry. Source: Alexandria, functional GGA-PBE.

abc: 4.374 4.374 21.260
angles: 90.00 90.00 120.00
Fractional coordinates of all 12 atoms:
In1 0.000 0.000 0.000
In2 0.333 0.667 0.667
In3 0.667 0.333 0.333
Au1 0.000 0.000 0.534
Au2 0.333 0.667 0.200
Au3 0.667 0.333 0.867
Se1 0.000 0.000 0.383
Se2 0.000 0.000 0.877
Se3 0.333 0.667 0.050
Se4 0.333 0.667 0.543
Se5 0.667 0.333 0.210
Se6 0.667 0.333 0.716

Energy in eV per cell: -42.4
ρ in g/cm³: 6.64
Spin magnetization in μB/cell: 0.00
Fermi-level density of states in states/eV per atom: 0.225
Uncorrected formation energy in eV per formula unit: -1.1